Record 1
A relaxed structure of Zr2AlGa4, computed with GGA-PBE.

Energy relative to the elements = -1.55 eV/f.u.
M_tot = 0.000 μB/atom
D(E_F) = 0.828 states/eV/atom
Relative energy among the computed polymorphs = 0.191 eV/atom
E = -34.500 eV per cell

abc: 3.976 3.976 8.607
angles: 90.00 90.00 90.00
Atoms (fractional coordinates):
Zr 0.000 0.500 0.241
Zr 0.500 0.000 0.759
Al 0.500 0.500 0.000
Ga 0.000 0.000 0.500
Ga 0.000 0.500 0.797
Ga 0.500 0.000 0.203
Ga 0.500 0.500 0.500

***

Record 2
A relaxed structure of ReSbIr2, computed with GGA-PBE.

M_tot = 0.000 μB/atom
D(E_F) = 1.040 states/eV/atom
Formation energy without anion corrections = 1.91 eV/f.u.
E = -129.539 eV per cell

abc: 6.385 6.385 6.385
angles: 90.00 90.00 90.00
Atoms (fractional coordinates):
Re 0.000 0.000 0.000
Re 0.000 0.500 0.500
Re 0.500 0.000 0.500
Re 0.500 0.500 0.000
Sb 0.250 0.250 0.250
Sb 0.250 0.750 0.750
Sb 0.750 0.250 0.750
Sb 0.750 0.750 0.250
Ir 0.000 0.000 0.500
Ir 0.000 0.500 0.000
Ir 0.250 0.250 0.750
Ir 0.250 0.750 0.250
Ir 0.500 0.000 0.000
Ir 0.500 0.500 0.500
Ir 0.750 0.250 0.250
Ir 0.750 0.750 0.750